Density functional theory data (PBE-GGA) for NaCuSi2Te after structural relaxation.

abc: 4.541 4.541 5.741
angles: 90.00 90.00 90.00
Atoms (fractional coordinates):
1 Na 0.000 0.000 0.000
2 Cu 0.500 0.500 0.500
3 Si 0.000 0.500 0.500
4 Si 0.500 0.000 0.500
5 Te 0.500 0.500 0.000

Values from the calculation:
Total magnetization = 0.0 μB/f.u.
Formation energy from raw total energies = 0.326 eV/atom

Density functional theory data (PBE-GGA) for NaCuSiTe3 after structural relaxation.

abc: 8.138 4.172 10.418
angles: 90.00 96.54 90.00
Atoms (fractional coordinates):
1 Na 0.111 0.250 0.283
2 Na 0.889 0.750 0.717
3 Cu 0.408 0.250 0.024
4 Cu 0.592 0.750 0.976
5 Si 0.301 0.250 0.711
6 Si 0.699 0.750 0.289
7 Te 0.112 0.250 0.883
8 Te 0.261 0.750 0.556
9 Te 0.403 0.750 0.174
10 Te 0.597 0.250 0.826
11 Te 0.739 0.250 0.444
12 Te 0.888 0.750 0.117

Values from the calculation:
Total magnetization = 0.0 μB/f.u.
Formation energy from raw total energies = -0.256 eV/atom

Density functional theory data (PBE-GGA) for Na2CuSiTe4 after structural relaxation.

abc: 6.918 6.918 6.918
angles: 114.79 114.79 99.29
Atoms (fractional coordinates):
1 Na 0.000 0.000 0.000
2 Na 0.750 0.250 0.500
3 Cu 0.500 0.500 0.000
4 Si 0.250 0.750 0.500
5 Te 0.214 0.127 0.556
6 Te 0.341 0.786 0.913
7 Te 0.572 0.659 0.444
8 Te 0.873 0.428 0.087

Values from the calculation:
Total magnetization = 0.0 μB/f.u.
Formation energy from raw total energies = -0.365 eV/atom

Density functional theory data (PBE-GGA) for NaSmCu10 after structural relaxation.

abc: 4.062 5.047 8.725
angles: 90.00 90.00 90.00
Atoms (fractional coordinates):
1 Na 0.000 0.000 0.000
2 Sm 0.000 0.500 0.500
3 Cu 0.000 0.000 0.326
4 Cu 0.000 0.000 0.674
5 Cu 0.000 0.500 0.162
6 Cu 0.000 0.500 0.838
7 Cu 0.500 0.000 0.500
8 Cu 0.500 0.253 0.252
9 Cu 0.500 0.253 0.748
10 Cu 0.500 0.500 0.000
11 Cu 0.500 0.747 0.252
12 Cu 0.500 0.747 0.748

Values from the calculation:
Total magnetization = 0.0 μB/f.u.
Calculated formation energy = -50 meV/atom

Density functional theory data (PBE-GGA) for NaSmCu4 after structural relaxation.

abc: 5.208 5.208 5.208
angles: 60.00 60.00 60.00
Atoms (fractional coordinates):
1 Na 0.000 0.000 0.000
2 Sm 0.250 0.250 0.250
3 Cu 0.121 0.626 0.626
4 Cu 0.626 0.121 0.626
5 Cu 0.626 0.626 0.121
6 Cu 0.626 0.626 0.626

Values from the calculation:
Total magnetization = 0.0 μB/f.u.
Calculated formation energy = -27 meV/atom

Density functional theory data (PBE-GGA) for NaSmCu2 after structural relaxation.

abc: 3.609 3.609 7.136
angles: 90.00 90.00 90.00
Atoms (fractional coordinates):
1 Na 0.000 0.000 0.000
2 Sm 0.000 0.000 0.500
3 Cu 0.500 0.500 0.301
4 Cu 0.500 0.500 0.699

Values from the calculation:
Total magnetization = 0.0 μB/f.u.
Calculated formation energy = 66 meV/atom

Density functional theory data (PBE-GGA) for NaSmCu after structural relaxation.

abc: 4.136 4.136 9.472
angles: 102.51 102.51 88.36
Atoms (fractional coordinates):
1 Na 0.242 0.242 0.493
2 Na 0.758 0.758 0.507
3 Sm 0.310 0.310 0.123
4 Sm 0.690 0.690 0.877
5 Cu 0.154 0.154 0.794
6 Cu 0.846 0.846 0.206

Values from the calculation:
Total magnetization = 0.0 μB/f.u.
Calculated formation energy = 109 meV/atom

Density functional theory data (PBE-GGA) for NaSmTlCu after structural relaxation.

abc: 5.155 5.155 5.155
angles: 60.00 60.00 60.00
Atoms (fractional coordinates):
1 Na 0.000 0.000 0.000
2 Sm 0.500 0.500 0.500
3 Tl 0.750 0.750 0.750
4 Cu 0.250 0.250 0.250

Values from the calculation:
Total magnetization = 0.0 μB/f.u.
Calculated formation energy = -33 meV/atom

Density functional theory data (PBE-GGA) for NaCu2Sn2 after structural relaxation.

abc: 8.306 8.306 2.967
angles: 90.00 90.00 90.00
Atoms (fractional coordinates):
1 Na 0.000 0.000 0.000
2 Na 0.500 0.500 0.000
3 Cu 0.150 0.350 0.500
4 Cu 0.350 0.850 0.500
5 Cu 0.650 0.150 0.500
6 Cu 0.850 0.650 0.500
7 Sn 0.144 0.644 0.000
8 Sn 0.356 0.144 0.000
9 Sn 0.644 0.856 0.000
10 Sn 0.856 0.356 0.000

Values from the calculation:
Distance to the lowest polymorph of the same formula = 43.9 kJ/mol of formula units
Total magnetization = 0.0 μB/f.u.
Calculated formation energy = 71 meV/atom

Density functional theory data (PBE-GGA) for Na2CuSn3 after structural relaxation.

abc: 7.887 7.887 6.952
angles: 90.00 90.00 48.20
Atoms (fractional coordinates):
1 Na 0.131 0.246 0.000
2 Na 0.246 0.131 0.500
3 Na 0.754 0.869 0.000
4 Na 0.869 0.754 0.500
5 Cu 0.298 0.702 0.920
6 Cu 0.702 0.298 0.420
7 Sn 0.053 0.947 0.237
8 Sn 0.344 0.435 0.221
9 Sn 0.435 0.344 0.721
10 Sn 0.565 0.656 0.221
11 Sn 0.656 0.565 0.721
12 Sn 0.947 0.053 0.737

Values from the calculation:
Total magnetization = 0.0 μB/f.u.
Calculated formation energy = -84 meV/atom

Density functional theory data (PBE-GGA) for Na3Cu2Sn5 after structural relaxation.

abc: 9.734 9.734 9.734
angles: 107.39 86.93 139.00
Atoms (fractional coordinates):
1 Na 0.141 0.740 0.881
2 Na 0.250 0.250 0.000
3 Na 0.359 0.240 0.600
4 Na 0.641 0.760 0.400
5 Na 0.750 0.750 0.000
6 Na 0.859 0.260 0.119
7 Cu 0.150 0.135 0.284
8 Cu 0.350 0.635 0.985
9 Cu 0.650 0.365 0.015
10 Cu 0.850 0.865 0.716
11 Sn 0.017 0.250 0.767
12 Sn 0.129 0.353 0.481
13 Sn 0.250 0.750 0.500
14 Sn 0.371 0.853 0.224
15 Sn 0.483 0.250 0.233
16 Sn 0.517 0.750 0.767
17 Sn 0.629 0.147 0.776
18 Sn 0.750 0.250 0.500
19 Sn 0.871 0.647 0.519
20 Sn 0.983 0.750 0.233

Values from the calculation:
Distance to the lowest polymorph of the same formula = 90.9 kJ/mol of formula units
Total magnetization = 0.0 μB/f.u.
Calculated formation energy = -12 meV/atom

Density functional theory data (PBE-GGA) for Na5Cu2Sn4 after structural relaxation.

abc: 8.251 3.429 9.827
angles: 90.00 97.11 90.00
Atoms (fractional coordinates):
1 Na 0.000 0.000 0.000
2 Na 0.035 0.000 0.342
3 Na 0.363 0.000 0.869
4 Na 0.637 0.000 0.131
5 Na 0.965 0.000 0.658
6 Cu 0.424 0.000 0.378
7 Cu 0.576 0.000 0.622
8 Sn 0.301 0.500 0.176
9 Sn 0.308 0.500 0.569
10 Sn 0.692 0.500 0.431
11 Sn 0.699 0.500 0.824

Values from the calculation:
Total magnetization = 0.0 μB/f.u.
Calculated formation energy = -111 meV/atom